Entry 1:
The following is a DFT calculation (PBE-GGA) of a relaxed structure of Ca2TeIr.

It has space group I-4m2 (No. 119), with a = 4.317 Å, b = 4.317 Å, c = 10.273 Å, α = 90.00°, β = 90.00° and γ = 90.00°. The asymmetric unit holds Ca at (0.000, 0.000, 0.000), Ca at (0.000, 0.500, 0.250), Te at (0.000, 0.000, 0.500) and Ir at (0.000, 0.500, 0.750).

As for the energy: -4.43 eV per atom. The value obtained for the formation energy from raw total energies is -0.426 eV per atom.


Entry 2:
The following is a DFT calculation (PBE-GGA) of a relaxed structure of Ca2TeIr.

It has space group Cmmm (No. 65), with a = 6.543 Å, b = 7.723 Å, c = 3.774 Å, α = 90.00°, β = 90.00° and γ = 90.00°. The asymmetric unit holds Ca at (0.250, 0.250, 0.000), Te at (0.000, 0.000, 0.500) and Ir at (0.000, 0.500, 0.500).

As for the energy: -4.56 eV per atom. The value obtained for the formation energy from raw total energies is -0.561 eV per atom.


Entry 3:
The following is a DFT calculation (PBE-GGA) of a relaxed structure of CaTeIr2.

It has space group Pmm2 (No. 25), with a = 3.149 Å, b = 4.060 Å, c = 6.263 Å, α = 90.00°, β = 90.00° and γ = 90.00°. The asymmetric unit holds Ca at (0.000, 0.000, 0.000), Te at (0.500, 0.500, 0.648), Ir at (0.000, 0.000, 0.474) and Ir at (0.500, 0.500, 0.241).

As for the energy: -5.65 eV per atom. The value obtained for the formation energy from raw total energies is 0.063 eV per atom.


Entry 4:
The following is a DFT calculation (PBE-GGA) of a relaxed structure of Ca2TeIr.

It has space group R-3m (No. 166, hexagonal axes), with a = 4.0366 Å, b = 4.0366 Å, c = 23.6478 Å, α = 90.00°, β = 90.00° and γ = 120.00°. The asymmetric unit holds Ca at (0.0000, 0.0000, 0.2411), Te at (0.0000, 0.0000, 0.0000) and Ir at (0.0000, 0.0000, 0.5000).

As for the energy: -4.45 eV per atom. The value obtained for the formation energy from raw total energies is -0.451 eV per atom.


Entry 5:
The following is a DFT calculation (PBE-GGA) of a relaxed structure of CaTeIr2.

It has space group P4/mmm (No. 123), with a = 3.205 Å, b = 3.205 Å, c = 7.617 Å, α = 90.00°, β = 90.00° and γ = 90.00°. The asymmetric unit holds Ca at (0.000, 0.000, 0.000), Te at (0.000, 0.000, 0.500) and Ir at (0.500, 0.500, 0.283).

As for the energy: -5.62 eV per atom. The value obtained for the formation energy from raw total energies is 0.099 eV per atom.


Entry 6:
The following is a DFT calculation (PBE-GGA) of a relaxed structure of Ca2TeIr.

It has space group I-42d (No. 122), with a = 8.063 Å, b = 8.063 Å, c = 6.408 Å, α = 90.00°, β = 90.00° and γ = 90.00°. The asymmetric unit holds Ca at (0.205, 0.750, 0.125), Te at (0.000, 0.000, 0.500) and Ir at (0.000, 0.000, 0.000).

As for the energy: -4.41 eV per atom. The value obtained for the formation energy from raw total energies is -0.409 eV per atom.